# 1
# TbSmGdTh

A relaxed structure of TbSmGdTh (PBE-GGA, Alexandria via LeMat-Bulk).

Its calculated total energy is -7.537 eV per atom. The total magnetic moment is 2.109 μB/atom. Its formation enthalpy at 0 K is 0.70 eV per formula unit.

The structure belongs to space group F-43m (No. 216); the cell edges are 8.0697, 8.0697 and 8.0697 Å and the angles 90.00°, 90.00° and 90.00°. Symmetry generates all atoms from Tb at (0.0000, 0.0000, 0.0000), Sm at (0.2500, 0.2500, 0.2500), Gd at (0.2500, 0.2500, 0.7500) and Th at (0.0000, 0.0000, 0.5000).

---

# 2
# Pm3TmTl4

A relaxed structure of Pm3TmTl4 (PBE-GGA, Alexandria via LeMat-Bulk).

Its calculated total energy is -3.757 eV per atom. As for the distance to the lowest polymorph of the same formula: 0.1369 eV/atom. The total magnetic moment is 0.033 μB/atom. Its formation enthalpy at 0 K is -1.87 eV per formula unit.

The structure belongs to space group Immm (No. 71); the cell edges are 3.6891, 7.2735 and 18.4708 Å and the angles 90.00°, 90.00° and 90.00°. Symmetry generates all atoms from Pm at (0.0000, 0.0000, 0.0000), Pm at (0.0000, 0.5000, 0.2177), Tm at (0.0000, 0.0000, 0.5000) and Tl at (0.0000, 0.2839, 0.3746).

---

# 3
# Ce2NF

A relaxed structure of Ce2NF (PBE-GGA, Alexandria via LeMat-Bulk).

Its calculated total energy is -7.480 eV per atom. The total magnetic moment is 0.366 μB/atom. The calculation puts the uncorrected formation energy at -1964 meV per atom.

The structure belongs to space group R3m (No. 160, hexagonal axes); the cell edges are 3.4648, 3.4648 and 19.6338 Å and the angles 90.00°, 90.00° and 120.00°. Symmetry generates all atoms from Ce at (0.0000, 0.0000, 0.0000), Ce at (0.0000, 0.0000, 0.1903), N at (0.0000, 0.0000, 0.5946) and F at (0.0000, 0.0000, 0.4260).

---

# 4
# CsTe2PI

A relaxed structure of CsTe2PI (PBE-GGA, Alexandria via LeMat-Bulk).

Its calculated total energy is -3.012 eV per atom. The total magnetic moment is 0.000 μB/atom. The calculation puts the uncorrected formation energy at -192 meV per atom.

The structure belongs to space group P4/mmm (No. 123); the cell edges are 5.4025, 5.4025 and 6.2076 Å and the angles 90.00°, 90.00° and 90.00°. Symmetry generates all atoms from Cs at (0.0000, 0.0000, 0.0000), Te at (0.0000, 0.5000, 0.5000), P at (0.5000, 0.5000, 0.5000) and I at (0.5000, 0.5000, 0.0000).

---

# 5
# Dy2Er2Tl

A relaxed structure of Dy2Er2Tl (PBE-GGA, Alexandria via LeMat-Bulk).

Its calculated total energy is -4.181 eV per atom. As for the distance to the lowest polymorph of the same formula: 0.0000 eV/atom. The total magnetic moment is 0.000 μB/atom. Its formation enthalpy at 0 K is -0.21 eV per formula unit.

The structure belongs to space group C2/m (No. 12); the cell edges are 8.3038, 9.5755 and 8.4791 Å and the angles 90.00°, 117.03° and 90.00°. Symmetry generates all atoms from Dy at (0.0658, 0.1843, 0.2170), Er at (0.1597, 0.5000, 0.9268), Er at (0.2231, 0.0000, 0.6180) and Tl at (0.0000, 0.3347, 0.5000).

---

# 6
# SrInI4Br

A relaxed structure of SrInI4Br (PBE-GGA, Alexandria via LeMat-Bulk).

Its calculated total energy is -2.795 eV per atom. The total magnetic moment is 0.000 μB/atom. The calculation puts the uncorrected formation energy at -1038 meV per atom.

The structure belongs to space group C2/m (No. 12); the cell edges are 15.5035, 8.7411 and 12.0411 Å and the angles 90.00°, 96.71° and 90.00°. Symmetry generates all atoms from Sr at (0.1395, 0.0000, 0.4984), In at (0.1713, 0.5000, 0.7732), I at (0.0029, 0.5000, 0.6909), I at (0.2238, 0.5000, 0.9938), I at (0.2374, 0.2437, 0.3250) and Br at (0.0162, 0.0000, 0.6659).

---

# 7
# Co2PtBr

A relaxed structure of Co2PtBr (PBE-GGA, Alexandria via LeMat-Bulk).

Its calculated total energy is -5.070 eV per atom. As for the distance to the lowest polymorph of the same formula: 0.1114 eV/atom. The total magnetic moment is 1.123 μB/atom. The calculation puts the uncorrected formation energy at 411 meV per atom.

The structure belongs to space group Pmm2 (No. 25); the cell edges are 3.0135, 3.2707 and 6.6357 Å and the angles 90.00°, 90.00° and 90.00°. Symmetry generates all atoms from Co at (0.0000, 0.0000, 0.0000), Co at (0.5000, 0.5000, 0.1676), Pt at (0.0000, 0.0000, 0.3773) and Br at (0.5000, 0.5000, 0.7742).

---

# 8
# YMnP2

A relaxed structure of YMnP2 (PBE-GGA, Alexandria via LeMat-Bulk).

Its calculated total energy is -7.291 eV per atom. As for the distance to the lowest polymorph of the same formula: 0.1502 eV/atom. The total magnetic moment is 0.985 μB/atom. Its formation enthalpy at 0 K is -2.71 eV per formula unit.

The structure belongs to space group P4/mmm (No. 123); the cell edges are 3.8324, 3.8324 and 5.4347 Å and the angles 90.00°, 90.00° and 90.00°. Symmetry generates all atoms from Y at (0.0000, 0.0000, 0.0000), Mn at (0.5000, 0.5000, 0.5000), P at (0.0000, 0.0000, 0.5000) and P at (0.5000, 0.5000, 0.0000).

---

# 9
# Cs2PI

A relaxed structure of Cs2PI (PBE-GGA, Alexandria via LeMat-Bulk).

Its calculated total energy is -2.531 eV per atom. As for the distance to the lowest polymorph of the same formula: 0.5348 eV/atom. The total magnetic moment is 0.500 μB/atom. The calculation puts the uncorrected formation energy at -364 meV per atom.

The structure belongs to space group I-42d (No. 122); the cell edges are 7.8507, 7.8507 and 19.6755 Å and the angles 90.00°, 90.00° and 90.00°. Symmetry generates all atoms from Cs at (0.2277, 0.2500, 0.1250), P at (0.0000, 0.0000, 0.0000) and I at (0.0000, 0.0000, 0.5000).

---

# 10
# RbInO2

A relaxed structure of RbInO2 (PBE-GGA, Alexandria via LeMat-Bulk).

Its calculated total energy is -4.088 eV per atom. The total magnetic moment is 0.072 μB/atom. The calculation puts the uncorrected formation energy at -683 meV per atom.

The structure belongs to space group P4/mmm (No. 123); the cell edges are 3.6406, 3.6406 and 5.1620 Å and the angles 90.00°, 90.00° and 90.00°. Symmetry generates all atoms from Rb at (0.0000, 0.0000, 0.0000), In at (0.5000, 0.5000, 0.5000), O at (0.0000, 0.0000, 0.5000) and O at (0.5000, 0.5000, 0.0000).

---

# 11
# PmDyAlZn

A relaxed structure of PmDyAlZn (PBE-GGA, Alexandria via LeMat-Bulk).

Its calculated total energy is -3.948 eV per atom. The total magnetic moment is 0.000 μB/atom. Its formation enthalpy at 0 K is -1.42 eV per formula unit.

The structure belongs to space group F-43m (No. 216); the cell edges are 7.2859, 7.2859 and 7.2859 Å and the angles 90.00°, 90.00° and 90.00°. Symmetry generates all atoms from Pm at (0.0000, 0.0000, 0.0000), Dy at (0.0000, 0.0000, 0.5000), Al at (0.2500, 0.2500, 0.7500) and Zn at (0.2500, 0.2500, 0.2500).

---

# 12
# DyErOsRu

A relaxed structure of DyErOsRu (PBE-GGA, Alexandria via LeMat-Bulk).

Its calculated total energy is -7.625 eV per atom. The total magnetic moment is 0.000 μB/atom. Its formation enthalpy at 0 K is -0.83 eV per formula unit.

The structure belongs to space group F-43m (No. 216); the cell edges are 6.7772, 6.7772 and 6.7772 Å and the angles 90.00°, 90.00° and 90.00°. Symmetry generates all atoms from Dy at (0.0000, 0.0000, 0.0000), Er at (0.0000, 0.0000, 0.5000), Os at (0.2500, 0.2500, 0.7500) and Ru at (0.2500, 0.2500, 0.2500).

---

# 13
# TlSb2Pd

A relaxed structure of TlSb2Pd (PBE-GGA, Alexandria via LeMat-Bulk).

Its calculated total energy is -4.160 eV per atom. As for the distance to the lowest polymorph of the same formula: 0.0000 eV/atom. The total magnetic moment is 0.000 μB/atom. The calculation puts the uncorrected formation energy at -209 meV per atom.

The structure belongs to space group R3m (No. 160, hexagonal axes); the cell edges are 4.2357, 4.2357 and 21.7480 Å and the angles 90.00°, 90.00° and 120.00°. Symmetry generates all atoms from Tl at (0.0000, 0.0000, 0.0000), Sb at (0.0000, 0.0000, 0.2250), Sb at (0.0000, 0.0000, 0.4497) and Pd at (0.0000, 0.0000, 0.8379).